Density functional theory data (GGA-PBE) for an optimized crystal structure of Ac2Zn3Si. Values from VASP.

Geometry as Quantum ESPRESSO input:
```
&SYSTEM
  ibrav = 0, nat = 6, ntyp = 3
/
ATOMIC_SPECIES
Zn 65.41 Zn.upf
Si 28.09 Si.upf
Ac 227.00 Ac.upf
CELL_PARAMETERS angstrom
4.489 0.000 0.000
0.000 4.376 0.000
0.000 0.000 7.752
ATOMIC_POSITIONS crystal
Zn 0.500 0.000 0.169
Si 0.500 0.500 0.337
Zn 0.500 0.000 0.832
Zn 0.500 0.500 0.664
Ac 0.000 0.500 0.012
Ac 0.000 0.000 0.486
```

Output
The total energy comes out at -3.3221 eV per atom. The formation energy (no corrections) comes out at -0.412 eV/atom. The total moment is 0.00 μB/f.u. As for the crystal system: orthorhombic. The density is 7.40 g/cm³.

=====

Density functional theory data (GGA-PBE) for an optimized crystal structure of Ac3Zn2Si4. Values from VASP.

Geometry as Quantum ESPRESSO input:
```
&SYSTEM
  ibrav = 0, nat = 9, ntyp = 3
/
ATOMIC_SPECIES
Si 28.09 Si.upf
Zn 65.41 Zn.upf
Ac 227.00 Ac.upf
CELL_PARAMETERS angstrom
-2.940 3.046 -0.318
-2.070 -4.562 3.783
3.951 4.465 6.242
ATOMIC_POSITIONS crystal
Si 0.058 0.116 0.392
Zn 0.391 0.781 0.722
Ac 0.665 0.331 0.670
Si 0.942 0.884 0.608
Si 0.721 0.442 0.054
Zn 0.609 0.219 0.278
Ac 0.335 0.669 0.330
Ac 0.000 0.000 0.000
Si 0.279 0.558 0.946
```

Output
The total energy comes out at -4.6643 eV per atom. The formation energy (no corrections) comes out at -0.601 eV/atom. The total moment is 0.00 μB/f.u. As for the crystal system: monoclinic. The density is 7.12 g/cm³.

=====

Density functional theory data (GGA-PBE) for an optimized crystal structure of Ac2Zn2Si. Values from VASP.

Geometry as Quantum ESPRESSO input:
```
&SYSTEM
  ibrav = 0, nat = 10, ntyp = 3
/
ATOMIC_SPECIES
Si 28.09 Si.upf
Zn 65.41 Zn.upf
Ac 227.00 Ac.upf
CELL_PARAMETERS angstrom
4.306 0.000 0.000
2.153 5.998 0.083
2.153 1.086 10.514
ATOMIC_POSITIONS crystal
Si 0.570 0.180 0.681
Zn 0.961 0.663 0.415
Si 0.430 0.820 0.319
Ac 0.294 0.771 0.641
Zn 0.380 0.117 0.123
Zn 0.620 0.883 0.877
Ac 0.897 0.312 0.895
Ac 0.103 0.688 0.105
Ac 0.706 0.229 0.359
Zn 0.039 0.337 0.585
```

Output
The total energy comes out at -3.6518 eV per atom. The formation energy (no corrections) comes out at -0.414 eV/atom. The total moment is 0.00 μB/f.u. As for the crystal system: monoclinic. The density is 7.51 g/cm³.

=====

Q: Look up the formation energy (no corrections) of the second one.
A: -0.601 eV/atom